Entry 1:
Ce4Ge2Br5 | PBE | relaxed

Geometry as CIF:
```
data_Ce4Ge2Br5
_chemical_formula_sum 'Ce8 Ge4 Br10'
_space_group_name_H-M_alt 'C 1 2/m 1'
_space_group_IT_number 12
_cell_length_a 18.6946
_cell_length_b 5.8652
_cell_length_c 6.0812
_cell_angle_alpha 90.00
_cell_angle_beta 105.70
_cell_angle_gamma 90.00
loop_
_space_group_symop_operation_xyz
'x,y,z'
'-x,-y,-z'
'-x,y,-z'
'x,-y,z'
'x+1/2,y+1/2,z'
'-x+1/2,-y+1/2,-z'
'-x+1/2,y+1/2,-z'
'x+1/2,-y+1/2,z'
loop_
_atom_site_label
_atom_site_type_symbol
_atom_site_fract_x
_atom_site_fract_y
_atom_site_fract_z
Ce1 Ce 0.0908 0.0000 0.2015
Ce2 Ce 0.2280 0.0000 0.7173
Ge1 Ge 0.0573 0.0000 0.6684
Br1 Br 0.0000 0.5000 0.5000
Br2 Br 0.1091 0.5000 0.1043
Br3 Br 0.2357 0.5000 0.7463
```

Entry 2:
Ce4Ge3Br | PBE | relaxed

Geometry as CIF:
```
data_Ce4Ge3Br
_chemical_formula_sum 'Ce8 Ge6 Br2'
_space_group_name_H-M_alt 'C m m m'
_space_group_IT_number 65
_space_group_name_Hall '-C 2 2'
_cell_length_a 8.4721
_cell_length_b 12.0099
_cell_length_c 4.2713
_cell_angle_alpha 90.00
_cell_angle_beta 90.00
_cell_angle_gamma 90.00
loop_
_atom_site_label
_atom_site_type_symbol
_atom_site_fract_x
_atom_site_fract_y
_atom_site_fract_z
Ce1 Ce 0.0000 0.2456 0.0000
Ce2 Ce 0.2390 0.0000 0.5000
Ge1 Ge 0.0000 0.0000 0.0000
Ge2 Ge 0.2500 0.2500 0.5000
Br1 Br 0.0000 0.5000 0.0000
```

Entry 3:
# Ce4Ge2Br3, relaxed, DFT PBE
data_Ce4Ge2Br3
_chemical_formula_sum 'Ce8 Ge4 Br6'
_space_group_name_H-M_alt 'C 1 2/m 1'
_space_group_IT_number 12
_cell_length_a 10.8286
_cell_length_b 4.3718
_cell_length_c 10.5315
_cell_angle_alpha 90.00
_cell_angle_beta 91.37
_cell_angle_gamma 90.00
loop_
_space_group_symop_operation_xyz
'x,y,z'
'-x,-y,-z'
'-x,y,-z'
'x,-y,z'
'x+1/2,y+1/2,z'
'-x+1/2,-y+1/2,-z'
'-x+1/2,y+1/2,-z'
'x+1/2,-y+1/2,z'
loop_
_atom_site_label
_atom_site_type_symbol
_atom_site_fract_x
_atom_site_fract_y
_atom_site_fract_z
Ce1 Ce 0.0851 0.0000 0.1539
Ce2 Ce 0.1394 0.5000 0.6177
Ge1 Ge 0.1777 0.5000 0.3176
Br1 Br 0.0000 0.0000 0.5000
Br2 Br 0.1328 0.5000 0.9196
# Energy relative to the lowest polymorph listed for this composition, kJ/mol of formula units: 242

Entry 4:
# CeGe2Br8, relaxed, DFT PBE
data_CeGe2Br8
_chemical_formula_sum 'Ce2 Ge4 Br16'
_space_group_name_H-M_alt 'C 1 2/m 1'
_space_group_IT_number 12
_cell_length_a 14.1535
_cell_length_b 7.8193
_cell_length_c 7.9518
_cell_angle_alpha 90.00
_cell_angle_beta 90.68
_cell_angle_gamma 90.00
loop_
_space_group_symop_operation_xyz
'x,y,z'
'-x,-y,-z'
'-x,y,-z'
'x,-y,z'
'x+1/2,y+1/2,z'
'-x+1/2,-y+1/2,-z'
'-x+1/2,y+1/2,-z'
'x+1/2,-y+1/2,z'
loop_
_atom_site_label
_atom_site_type_symbol
_atom_site_fract_x
_atom_site_fract_y
_atom_site_fract_z
Ce1 Ce 0.0000 0.0000 0.0000
Ge1 Ge 0.1340 0.0000 0.4559
Br1 Br 0.0648 0.2401 0.2464
Br2 Br 0.1744 0.0000 0.8545
Br3 Br 0.2050 0.5000 0.6291
# Energy relative to the lowest polymorph listed for this composition, kJ/mol of formula units: 0

Entry 5:
Ce3Ge2Br2 | PBE | relaxed

Geometry as CIF:
```
data_Ce3Ge2Br2
_chemical_formula_sum 'Ce6 Ge4 Br4'
_space_group_name_H-M_alt 'C 1 2/m 1'
_space_group_IT_number 12
_cell_length_a 14.1125
_cell_length_b 4.2437
_cell_length_c 7.6937
_cell_angle_alpha 90.00
_cell_angle_beta 101.28
_cell_angle_gamma 90.00
loop_
_space_group_symop_operation_xyz
'x,y,z'
'-x,-y,-z'
'-x,y,-z'
'x,-y,z'
'x+1/2,y+1/2,z'
'-x+1/2,-y+1/2,-z'
'-x+1/2,y+1/2,-z'
'x+1/2,-y+1/2,z'
loop_
_atom_site_label
_atom_site_type_symbol
_atom_site_fract_x
_atom_site_fract_y
_atom_site_fract_z
Ce1 Ce 0.0000 0.0000 0.0000
Ce2 Ce 0.2373 0.0000 0.7680
Ge1 Ge 0.1238 0.5000 0.8974
Br1 Br 0.1345 0.0000 0.3702
```

Entry 6:
# Ce4Ge2Br3, relaxed, DFT PBE
data_Ce4Ge2Br3
_chemical_formula_sum 'Ce8 Ge4 Br6'
_space_group_name_H-M_alt 'C 1 2/m 1'
_space_group_IT_number 12
_cell_length_a 7.4391
_cell_length_b 4.2950
_cell_length_c 17.5297
_cell_angle_alpha 90.00
_cell_angle_beta 90.09
_cell_angle_gamma 90.00
loop_
_space_group_symop_operation_xyz
'x,y,z'
'-x,-y,-z'
'-x,y,-z'
'x,-y,z'
'x+1/2,y+1/2,z'
'-x+1/2,-y+1/2,-z'
'-x+1/2,y+1/2,-z'
'x+1/2,-y+1/2,z'
loop_
_atom_site_label
_atom_site_type_symbol
_atom_site_fract_x
_atom_site_fract_y
_atom_site_fract_z
Ce1 Ce 0.0011 0.0000 0.2913
Ce2 Ce 0.1662 0.5000 0.8958
Ge1 Ge 0.1675 0.5000 0.1970
Br1 Br 0.0000 0.0000 0.0000
Br2 Br 0.1652 0.5000 0.6069
# Energy relative to the lowest polymorph listed for this composition, kJ/mol of formula units: 0

Entry 7:
Ce3Ge2Br | PBE | relaxed

Geometry as CIF:
```
data_Ce3Ge2Br
_chemical_formula_sum 'Ce12 Ge8 Br4'
_space_group_name_H-M_alt 'C 1 2/c 1'
_space_group_IT_number 15
_cell_length_a 4.7996
_cell_length_b 14.3766
_cell_length_c 9.7597
_cell_angle_alpha 90.00
_cell_angle_beta 104.12
_cell_angle_gamma 90.00
loop_
_space_group_symop_operation_xyz
'x,y,z'
'-x,-y,-z'
'-x,y,-z+1/2'
'x,-y,z+1/2'
'x+1/2,y+1/2,z'
'-x+1/2,-y+1/2,-z'
'-x+1/2,y+1/2,-z+1/2'
'x+1/2,-y+1/2,z+1/2'
loop_
_atom_site_label
_atom_site_type_symbol
_atom_site_fract_x
_atom_site_fract_y
_atom_site_fract_z
Ce1 Ce 0.0000 0.1269 0.2500
Ce2 Ce 0.2499 0.1206 0.9730
Ge1 Ge 0.0000 0.2545 0.7500
Ge2 Ge 0.2500 0.2500 0.5000
Br1 Br 0.0000 0.4828 0.2500
```

Entry 8:
CeGeBr5 | PBE | relaxed

Geometry as CIF:
```
data_CeGeBr5
_chemical_formula_sum 'Ce4 Ge4 Br20'
_space_group_name_H-M_alt 'C 1 2/c 1'
_space_group_IT_number 15
_cell_length_a 11.2036
_cell_length_b 9.9452
_cell_length_c 11.1751
_cell_angle_alpha 90.00
_cell_angle_beta 115.81
_cell_angle_gamma 90.00
loop_
_space_group_symop_operation_xyz
'x,y,z'
'-x,-y,-z'
'-x,y,-z+1/2'
'x,-y,z+1/2'
'x+1/2,y+1/2,z'
'-x+1/2,-y+1/2,-z'
'-x+1/2,y+1/2,-z+1/2'
'x+1/2,-y+1/2,z+1/2'
loop_
_atom_site_label
_atom_site_type_symbol
_atom_site_fract_x
_atom_site_fract_y
_atom_site_fract_z
Ce1 Ce 0.2500 0.2500 0.0000
Ge1 Ge 0.0000 0.0825 0.2500
Br1 Br 0.0000 0.2494 0.7500
Br2 Br 0.0976 0.2714 0.1573
Br3 Br 0.2282 0.0382 0.4896
```

Entry 9:
# CeGe2Br8, relaxed, DFT PBE
data_CeGe2Br8
_chemical_formula_sum 'Ce2 Ge4 Br16'
_space_group_name_H-M_alt 'C 1 2/m 1'
_space_group_IT_number 12
_cell_length_a 12.3572
_cell_length_b 10.1193
_cell_length_c 7.9975
_cell_angle_alpha 90.00
_cell_angle_beta 109.41
_cell_angle_gamma 90.00
loop_
_space_group_symop_operation_xyz
'x,y,z'
'-x,-y,-z'
'-x,y,-z'
'x,-y,z'
'x+1/2,y+1/2,z'
'-x+1/2,-y+1/2,-z'
'-x+1/2,y+1/2,-z'
'x+1/2,-y+1/2,z'
loop_
_atom_site_label
_atom_site_type_symbol
_atom_site_fract_x
_atom_site_fract_y
_atom_site_fract_z
Ce1 Ce 0.0000 0.0000 0.0000
Ge1 Ge 0.1547 0.0000 0.6268
Br1 Br 0.0799 0.1863 0.7993
Br2 Br 0.1474 0.5000 0.2010
Br3 Br 0.2107 0.0000 0.2621
# Energy relative to the lowest polymorph listed for this composition, kJ/mol of formula units: 2

Entry 10:
CeGeBr2 | PBE | relaxed

Geometry as CIF:
```
data_CeGeBr2
_chemical_formula_sum 'Ce3 Ge3 Br6'
_space_group_name_H-M_alt 'R -3 m'
_space_group_IT_number 166
_space_group_name_Hall '-R 3 2"'
_cell_length_a 3.6441
_cell_length_b 3.6441
_cell_length_c 31.1227
_cell_angle_alpha 90.00
_cell_angle_beta 90.00
_cell_angle_gamma 120.00
loop_
_atom_site_label
_atom_site_type_symbol
_atom_site_fract_x
_atom_site_fract_y
_atom_site_fract_z
Ce1 Ce 0.0000 0.0000 0.0000
Ge1 Ge 0.0000 0.0000 0.5000
Br1 Br 0.0000 0.0000 0.0903
```

Entry 11:
Ce4GeBr4 | PBE | relaxed

Geometry as CIF:
```
data_Ce4GeBr4
_chemical_formula_sum 'Ce8 Ge2 Br8'
_space_group_name_H-M_alt 'I -4 2 m'
_space_group_IT_number 121
_space_group_name_Hall 'I -4 2'
_cell_length_a 7.2636
_cell_length_b 7.2636
_cell_length_c 11.5070
_cell_angle_alpha 90.00
_cell_angle_beta 90.00
_cell_angle_gamma 90.00
loop_
_atom_site_label
_atom_site_type_symbol
_atom_site_fract_x
_atom_site_fract_y
_atom_site_fract_z
Ce1 Ce 0.2074 0.2074 0.1555
Ge1 Ge 0.0000 0.0000 0.0000
Br1 Br 0.0000 0.0000 0.3440
Br2 Br 0.0000 0.5000 0.0000
```

Entry 12:
Ce7GeBr12 | PBE | relaxed

Geometry as CIF:
```
data_Ce7GeBr12
_chemical_formula_sum 'Ce21 Ge3 Br36'
_space_group_name_H-M_alt 'R -3'
_space_group_IT_number 148
_space_group_name_Hall '-R 3'
_cell_length_a 15.4122
_cell_length_b 15.4122
_cell_length_c 10.0495
_cell_angle_alpha 90.00
_cell_angle_beta 90.00
_cell_angle_gamma 120.00
loop_
_atom_site_label
_atom_site_type_symbol
_atom_site_fract_x
_atom_site_fract_y
_atom_site_fract_z
Ce1 Ce 0.0000 0.0000 0.0000
Ce2 Ce 0.0461 0.8769 0.3284
Ge1 Ge 0.0000 0.0000 0.5000
Br1 Br 0.0293 0.4404 0.1642
Br2 Br 0.0507 0.8640 0.8441
```

One value per record, in order, for VASP energy: -51.23, -46.27, -46.22, -39.39, -37.10, -48.74, -32.36, -27.42, -39.37, -14.85, -42.87, -97.47 eV per formula unit.